# TaIn3Te (PBE, optimized geometry)
# - density of states at the Fermi level (states/eV/cell) = 9.153
# - mass density (g/cm³) = 6.5
# - raw formation energy (eV per atom) = 0.76
# - spin magnetization (μB per atom) = 0.3102
data_TaIn3Te
_chemical_formula_sum 'Ta1 In3 Te1'
_cell_length_a 5.505
_cell_length_b 5.505
_cell_length_c 5.505
_cell_angle_alpha 90.00
_cell_angle_beta 90.00
_cell_angle_gamma 90.00
_symmetry_space_group_name_H-M 'P m -3 m'
_symmetry_Int_Tables_number 221
_symmetry_space_group_name_Hall '-P 4 2 3'
loop_
_atom_site_label
_atom_site_type_symbol
_atom_site_fract_x
_atom_site_fract_y
_atom_site_fract_z
Ta1 Ta 0.000 0.000 0.000
In1 In 0.000 0.000 0.500
Te1 Te 0.500 0.500 0.500